# GGA+U P4WO12, relaxed
# * ΔE to the lowest computed polymorph: 0.0 meV per atom
# * uncorrected energy: -7.272 eV per atom
data_P4WO12
_space_group_name_H-M_alt 'C 1 2/c 1'
_space_group_IT_number 15
_cell_length_a 15.144
_cell_length_b 7.443
_cell_length_c 9.679
_cell_angle_alpha 90.00
_cell_angle_beta 115.66
_cell_angle_gamma 90.00
loop_
_space_group_symop_operation_xyz
'x,y,z'
'-x,-y,-z'
'-x,y,-z+1/2'
'x,-y,z+1/2'
'x+1/2,y+1/2,z'
'-x+1/2,-y+1/2,-z'
'-x+1/2,y+1/2,-z+1/2'
'x+1/2,-y+1/2,z+1/2'
loop_
_atom_site_label
_atom_site_fract_x
_atom_site_fract_y
_atom_site_fract_z
P1 0.128 0.150 0.156
P2 0.163 0.456 0.704
W1 0.000 0.166 0.750
O1 0.056 0.169 0.991
O2 0.097 0.030 0.254
O3 0.098 0.355 0.762
O4 0.150 0.337 0.242
O5 0.156 0.425 0.550
O6 0.227 0.080 0.159